[1]
Compound: HoMgCuSe3
Source: OQMD via LeMat-Bulk
Functional: PBE
Structure: optimized geometry

a b c (Å): 6.684 6.684 10.618
angles (deg): 90.00 90.00 146.54
Positions (direct):
Ho1 0.000 0.000 0.000
Ho2 0.000 0.000 0.500
Mg1 0.232 0.768 0.750
Mg2 0.768 0.232 0.250
Cu1 0.477 0.523 0.250
Cu2 0.523 0.477 0.750
Se1 0.101 0.899 0.250
Se2 0.351 0.649 0.078
Se3 0.351 0.649 0.422
Se4 0.649 0.351 0.578
Se5 0.649 0.351 0.922
Se6 0.899 0.101 0.750

uncorrected energy: -4.530 eV/atom

[2]
Compound: HfSiSe
Source: OQMD via LeMat-Bulk
Functional: PBE
Structure: optimized geometry

a b c (Å): 3.605 3.605 8.430
angles (deg): 90.00 90.00 90.00
Positions (direct):
Hf1 0.250 0.250 0.248
Hf2 0.750 0.750 0.752
Si1 0.250 0.750 0.500
Si2 0.750 0.250 0.500
Se1 0.250 0.250 0.876
Se2 0.750 0.750 0.124

uncorrected energy: -7.289 eV/atom

[3]
Compound: LiLa2Ni2
Source: OQMD via LeMat-Bulk
Functional: PBE
Structure: optimized geometry

a b c (Å): 7.573 7.573 3.850
angles (deg): 90.00 90.00 90.00
Positions (direct):
Li1 0.000 0.000 0.000
Li2 0.500 0.500 0.000
La1 0.174 0.326 0.500
La2 0.326 0.826 0.500
La3 0.674 0.174 0.500
La4 0.826 0.674 0.500
Ni1 0.119 0.619 0.000
Ni2 0.381 0.119 0.000
Ni3 0.619 0.881 0.000
Ni4 0.881 0.381 0.000

uncorrected energy: -4.829 eV/atom

[4]
Compound: CoAsPtW
Source: OQMD via LeMat-Bulk
Functional: PBE
Structure: optimized geometry

a b c (Å): 6.255 6.255 6.255
angles (deg): 90.00 90.00 90.00
Positions (direct):
Co1 0.000 0.000 0.000
Co2 0.000 0.500 0.500
Co3 0.500 0.000 0.500
Co4 0.500 0.500 0.000
As1 0.250 0.250 0.750
As2 0.250 0.750 0.250
As3 0.750 0.250 0.250
As4 0.750 0.750 0.750
Pt1 0.000 0.000 0.500
Pt2 0.000 0.500 0.000
Pt3 0.500 0.000 0.000
Pt4 0.500 0.500 0.500
W1 0.250 0.250 0.250
W2 0.250 0.750 0.750
W3 0.750 0.250 0.750
W4 0.750 0.750 0.250

uncorrected energy: -7.209 eV/atom